Record 1
An optimized crystal structure of Li9Si2Ni5O16, computed with PBE+U.

Lattice parameters (Å, degrees): 4.899 5.050 11.130 80.82 85.41 79.97
Fractional positions:
Li1 0.000 0.000 0.000
Li2 0.236 0.688 0.815
Li3 0.241 0.190 0.315
Li4 0.241 0.449 0.060
Li5 0.259 0.942 0.562
Li6 0.741 0.058 0.438
Li7 0.759 0.551 0.940
Li8 0.759 0.810 0.685
Li9 0.764 0.312 0.185
Si1 0.498 0.883 0.119
Si2 0.502 0.117 0.881
Ni1 0.000 0.500 0.500
Ni2 0.001 0.241 0.757
Ni3 0.498 0.629 0.373
Ni4 0.502 0.371 0.627
Ni5 0.999 0.759 0.243
O1 0.106 0.834 0.392
O2 0.113 0.558 0.666
O3 0.157 0.060 0.156
O4 0.158 0.317 0.898
O5 0.356 0.296 0.470
O6 0.364 0.587 0.203
O7 0.367 0.041 0.744
O8 0.408 0.814 0.974
O9 0.592 0.186 0.026
O10 0.633 0.959 0.256
O11 0.636 0.413 0.797
O12 0.644 0.704 0.530
O13 0.842 0.683 0.102
O14 0.843 0.940 0.844
O15 0.887 0.442 0.334
O16 0.894 0.166 0.608

Output
* VASP energy: -5.4632 eV per atom
* symmetry: P-1 (2)

=====

Record 2
An optimized crystal structure of Li7Si2Ni3O12, computed with PBE+U.

Lattice parameters (Å, degrees): 4.893 4.893 19.180 92.34 92.34 120.30
Fractional positions:
Li1 0.000 0.500 0.500
Li2 0.046 0.218 0.624
Li3 0.131 0.641 0.877
Li4 0.218 0.046 0.124
Li5 0.281 0.458 0.376
Li6 0.359 0.869 0.623
Li7 0.458 0.281 0.876
Li8 0.500 0.000 0.000
Li9 0.542 0.719 0.124
Li10 0.641 0.131 0.377
Li11 0.719 0.542 0.624
Li12 0.782 0.954 0.876
Li13 0.869 0.359 0.123
Li14 0.954 0.782 0.376
Si1 0.167 0.333 0.000
Si2 0.333 0.167 0.500
Si3 0.667 0.833 0.500
Si4 0.833 0.667 0.000
Ni1 0.087 0.913 0.750
Ni2 0.249 0.751 0.250
Ni3 0.421 0.579 0.750
Ni4 0.579 0.421 0.250
Ni5 0.751 0.249 0.750
Ni6 0.913 0.087 0.250
O1 0.016 0.888 0.552
O2 0.073 0.584 0.692
O3 0.112 0.984 0.948
O4 0.127 0.265 0.805
O5 0.145 0.645 0.052
O6 0.210 0.373 0.192
O7 0.265 0.127 0.305
O8 0.355 0.855 0.448
O9 0.373 0.210 0.692
O10 0.389 0.517 0.552
O11 0.416 0.927 0.808
O12 0.483 0.611 0.948
O13 0.517 0.389 0.052
O14 0.584 0.073 0.192
O15 0.611 0.483 0.448
O16 0.627 0.790 0.308
O17 0.645 0.145 0.552
O18 0.735 0.873 0.695
O19 0.790 0.627 0.808
O20 0.855 0.355 0.948
O21 0.873 0.735 0.195
O22 0.888 0.016 0.052
O23 0.927 0.416 0.308
O24 0.984 0.112 0.448

Output
* VASP energy: -5.6532 eV per atom
* symmetry: C2/c (15)